(1)
## TbPmTh2 (PBE-GGA)

Data for an optimized crystal structure of TbPmTh2.

energy of formation from the pure elements = 17.6 kJ per mole of atoms
magnetization = 0.0000 μB/atom
energy relative to the lowest polymorph listed for this composition = 153 meV/atom

extended XYZ file:
```
4
Lattice="5.692 0.000 0.000 2.846 4.930 0.000 2.846 1.643 4.648" Properties=species:S:1:pos:R:3 pbc="T T T"
Pm 5.692 3.286 2.324
Tb 0.000 0.000 0.000
Th 2.846 1.643 1.162
Th 8.538 4.930 3.486
```

=====

(2)
## Tb2PmTh (PBE-GGA)

Data for an optimized crystal structure of Tb2PmTh.

energy of formation from the pure elements = 4.3 kJ per mole of atoms
magnetization = 0.0000 μB/atom
energy relative to the lowest polymorph listed for this composition = 33 meV/atom

extended XYZ file:
```
4
Lattice="5.034 0.000 0.000 0.000 5.084 0.000 0.000 0.000 5.084" Properties=species:S:1:pos:R:3 pbc="T T T"
Th 2.517 2.542 2.542
Tb 0.000 2.542 0.000
Tb 0.000 0.000 2.542
Pm 2.517 0.000 0.000
```

=====

(3)
## Tb7PmTh3 (PBE-GGA)

Data for an optimized crystal structure of Tb7PmTh3.

energy of formation from the pure elements = 14.8 kJ per mole of atoms
magnetization = 0.0000 μB/atom
energy relative to the lowest polymorph listed for this composition = 0 meV/atom

extended XYZ file:
```
11
Lattice="6.704 -0.398 0.064 -1.197 8.601 0.379 0.736 0.642 6.388" Properties=species:S:1:pos:R:3 pbc="T T T"
Tb 1.300 7.625 3.994
Tb 1.837 5.482 6.574
Tb 4.407 3.362 0.257
Pm 3.122 4.422 3.416
Th 5.491 6.929 1.495
Tb 4.944 1.220 2.837
Th 3.352 -0.199 0.032
Tb 1.520 1.855 1.964
Th 0.753 1.916 5.336
Tb -0.230 4.621 3.383
Tb 4.724 6.990 4.868
```